# BaPRh4 GGA-PBE optimized geometry
# Formation energy   30 kJ/mol of atoms
# Total moment   0.0 μB/f.u.
# Uncorrected energy   -5.817 eV per atom
data_BaPRh4
_space_group_name_H-M_alt 'P 1'
_space_group_IT_number 1
_cell_length_a 5.385
_cell_length_b 5.385
_cell_length_c 5.385
_cell_angle_alpha 60.00
_cell_angle_beta 60.00
_cell_angle_gamma 60.00
loop_
_space_group_symop_operation_xyz
'x,y,z'
loop_
_atom_site_label
_atom_site_type_symbol
_atom_site_fract_x
_atom_site_fract_y
_atom_site_fract_z
_atom_site_occupancy
Ba1 Ba 0.750 0.750 0.750 1
Rh1 Rh 0.373 0.880 0.373 1
Rh2 Rh 0.373 0.373 0.880 1
Rh3 Rh 0.373 0.373 0.373 1
Rh4 Rh 0.880 0.373 0.373 1
P1 P 0.000 0.000 0.000 1